DFT (PBE) results for a relaxed structure of Ba3In6Pd5.

a b c (Å): 4.6061 11.3170 14.0292
angles (deg): 90.00 90.00 90.00
With the nearest neighbours (Å) after each atom.
Fractional coordinates of all 28 atoms:
In  0.5000  0.0218  0.0000  4 Pd 2.75-2.85
In  0.5000  0.9900  0.3294  4 Pd 2.76-2.87
In  0.0000  0.4820  0.5000  4 Pd 2.77, 2 In 3.01
In  0.0000  0.5905  0.6963  4 Pd 2.82-2.93, 1 In 3.01
In  0.0000  0.0100  0.1706  4 Pd 2.76-2.87
In  0.0000  0.0100  0.8294  4 Pd 2.76-2.87
In  0.5000  0.5180  0.0000  4 Pd 2.77, 2 In 3.01
In  0.5000  0.4095  0.8037  4 Pd 2.82-2.93, 1 In 3.01
In  0.0000  0.9782  0.5000  4 Pd 2.75-2.85
In  0.5000  0.9900  0.6706  4 Pd 2.76-2.87
In  0.5000  0.4095  0.1963  4 Pd 2.82-2.93, 1 In 3.01
In  0.0000  0.5905  0.3037  4 Pd 2.82-2.93, 1 In 3.01
Ba  0.0000  0.2679  0.0000  6 Pd 3.32-3.59, 4 In 3.61-3.65
Ba  0.5000  0.7525  0.8418  7 In 3.46-3.77, 6 Pd 3.47-3.55
Ba  0.5000  0.7525  0.1582  7 In 3.46-3.77, 6 Pd 3.47-3.55
Ba  0.0000  0.2475  0.3418  7 In 3.46-3.77, 6 Pd 3.47-3.55
Ba  0.0000  0.2475  0.6582  7 In 3.46-3.77, 6 Pd 3.47-3.55
Ba  0.5000  0.7321  0.5000  6 Pd 3.32-3.59, 4 In 3.61-3.65
Pd  0.0000  0.8467  0.6732  5 In 2.82-2.92
Pd  0.5000  0.1533  0.1732  5 In 2.82-2.92
Pd  0.5000  0.4719  0.6093  5 In 2.77-2.93, 1 Pd 3.07
Pd  0.0000  0.5281  0.8907  5 In 2.77-2.93, 1 Pd 3.07
Pd  0.5000  0.1112  0.5000  4 In 2.75-2.76
Pd  0.5000  0.4719  0.3907  5 In 2.77-2.93, 1 Pd 3.07
Pd  0.0000  0.8467  0.3268  5 In 2.82-2.92
Pd  0.5000  0.1533  0.8268  5 In 2.82-2.92
Pd  0.0000  0.8888  0.0000  4 In 2.75-2.76
Pd  0.0000  0.5281  0.1093  5 In 2.77-2.93, 1 Pd 3.07

* energy relative to the elements: -0.544 eV per atom
* crystal system: orthorhombic
* calculated total energy: -3.9845 eV/atom
* total moment: 0.000 μB/atom

DFT (PBE) results for a relaxed structure of Rb3Cd6Ag5.

a b c (Å): 4.8868 11.4872 14.4857
angles (deg): 90.00 90.00 90.00
With the nearest neighbours (Å) after each atom.
Fractional coordinates of all 28 atoms:
Ag  0.5000  0.1608  0.8276  5 Cd 2.92-3.00
Ag  0.0000  0.5174  0.1054  5 Cd 2.90-3.02, 1 Ag 3.05
Ag  0.5000  0.0988  0.5000  4 Cd 2.81-2.86
Ag  0.5000  0.1608  0.1724  5 Cd 2.92-3.00
Ag  0.0000  0.9012  0.0000  4 Cd 2.81-2.86
Ag  0.5000  0.4826  0.6054  5 Cd 2.90-3.02, 1 Ag 3.05
Ag  0.0000  0.8392  0.3276  5 Cd 2.92-3.00
Ag  0.0000  0.8392  0.6724  5 Cd 2.92-3.00
Ag  0.0000  0.5174  0.8946  5 Cd 2.90-3.02, 1 Ag 3.05
Ag  0.5000  0.4826  0.3946  5 Cd 2.90-3.02, 1 Ag 3.05
Cd  0.5000  0.0218  0.0000  4 Ag 2.81-2.96
Cd  0.5000  0.9909  0.3224  4 Ag 2.86-3.00
Cd  0.0000  0.5804  0.2999  4 Ag 2.91-3.02, 1 Cd 3.01
Cd  0.0000  0.0091  0.8224  4 Ag 2.86-3.00
Cd  0.5000  0.4917  0.0000  4 Ag 2.90, 2 Cd 3.01
Cd  0.0000  0.5083  0.5000  4 Ag 2.90, 2 Cd 3.01
Cd  0.5000  0.4196  0.2001  4 Ag 2.91-3.02, 1 Cd 3.01
Cd  0.0000  0.5804  0.7001  4 Ag 2.91-3.02, 1 Cd 3.01
Cd  0.0000  0.9782  0.5000  4 Ag 2.81-2.96
Cd  0.0000  0.0091  0.1776  4 Ag 2.86-3.00
Cd  0.5000  0.4196  0.7999  4 Ag 2.91-3.02, 1 Cd 3.01
Cd  0.5000  0.9909  0.6776  4 Ag 2.86-3.00
Rb  0.5000  0.7489  0.1524  6 Ag 3.67-3.73, 8 Cd 3.69-3.88
Rb  0.5000  0.7504  0.5000  6 Ag 3.43-3.64, 6 Cd 3.58-3.78
Rb  0.5000  0.7489  0.8476  6 Ag 3.67-3.73, 8 Cd 3.69-3.88
Rb  0.0000  0.2496  0.0000  6 Ag 3.43-3.64, 6 Cd 3.58-3.78
Rb  0.0000  0.2511  0.6524  6 Ag 3.67-3.73, 8 Cd 3.69-3.88
Rb  0.0000  0.2511  0.3476  6 Ag 3.67-3.73, 8 Cd 3.69-3.88

* energy relative to the elements: 0.000 eV per atom
* crystal system: orthorhombic
* calculated total energy: -1.6183 eV/atom
* total moment: 0.000 μB/atom

DFT (PBE) results for a relaxed structure of CaZrAg.

a b c (Å): 4.8908 4.8908 4.8908
angles (deg): 60.00 60.00 60.00
With the nearest neighbours (Å) after each atom.
Fractional coordinates of all 3 atoms:
Zr  0.5000  0.5000  0.5000  4 Ag 2.99
Ag  0.7500  0.7500  0.7500  4 Zr 2.99, 4 Ca 2.99
Ca  0.0000  0.0000  0.0000  4 Ag 2.99

* energy relative to the elements: 0.419 eV per atom
* crystal system: cubic
* calculated total energy: -4.0478 eV/atom
* total moment: 0.000 μB/atom

DFT (PBE) results for a relaxed structure of PmH8Rh6.

a b c (Å): 5.2429 5.2429 5.2429
angles (deg): 99.61 99.61 99.61
With the nearest neighbours (Å) after each atom.
Fractional coordinates of all 15 atoms:
Rh  0.4169  0.8644  0.6976  4 H 1.79-1.83
Rh  0.3024  0.5831  0.1356  4 H 1.79-1.83
Rh  0.6976  0.4169  0.8644  4 H 1.79-1.83
Rh  0.1356  0.3024  0.5831  4 H 1.79-1.83
Rh  0.8644  0.6976  0.4169  4 H 1.79-1.83
Rh  0.5831  0.1356  0.3024  4 H 1.79-1.83
H  0.6259  0.8001  0.1891  3 Rh 1.79-1.83
H  0.6751  0.6751  0.6751  3 Rh 1.82
H  0.1891  0.6259  0.8001  3 Rh 1.79-1.83
H  0.1999  0.8109  0.3741  3 Rh 1.79-1.83
H  0.8001  0.1891  0.6259  3 Rh 1.79-1.83
H  0.3741  0.1999  0.8109  3 Rh 1.79-1.83
H  0.8109  0.3741  0.1999  3 Rh 1.79-1.83
H  0.3249  0.3249  0.3249  3 Rh 1.82
Pm  0.0000  0.0000  0.0000  8 H 2.41-2.50

* crystal system: trigonal
* calculated total energy: -5.2040 eV/atom
* total moment: 0.000 μB/atom

DFT (PBE) results for a relaxed structure of DyCdIn4O8.

a b c (Å): 6.6332 6.6332 6.7054
angles (deg): 60.36 60.36 60.00
With the nearest neighbours (Å) after each atom.
Fractional coordinates of all 14 atoms:
O  0.2400  0.2400  0.7321  2 In 2.22, 1 Cd 2.24, 1 Dy 2.26
O  0.7561  0.7561  0.2660  3 In 2.19-2.26, 1 Dy 2.32
O  0.7561  0.2219  0.2660  3 In 2.19-2.26, 1 Dy 2.32
O  0.2400  0.7879  0.7321  2 In 2.22, 1 Cd 2.24, 1 Dy 2.26
O  0.7622  0.7622  0.7134  4 In 2.25-2.27
O  0.7879  0.2400  0.7321  2 In 2.22, 1 Cd 2.24, 1 Dy 2.26
O  0.2359  0.2359  0.2923  3 In 2.22, 1 Cd 2.30
O  0.2219  0.7561  0.2660  3 In 2.19-2.26, 1 Dy 2.32
In  0.0006  0.4978  0.5010  6 O 2.22-2.26
In  0.6250  0.6250  0.1251  4 O 2.19-2.27
In  0.4978  0.0006  0.5010  6 O 2.22-2.26
In  0.0006  0.0006  0.5010  6 O 2.22-2.26
Cd  0.3749  0.3749  0.8752  4 O 2.24-2.30
Dy  0.0010  0.0010  0.9969  6 O 2.26-2.32

* crystal system: trigonal
* formation energy (no corrections): -1772 meV/atom
* calculated total energy: -5.7821 eV/atom
* total moment: 0.000 μB/atom

DFT (PBE) results for a relaxed structure of RbUAg2Br6.

a b c (Å): 10.7738 9.4664 9.4664
angles (deg): 59.44 67.30 67.30
With the nearest neighbours (Å) after each atom.
Fractional coordinates of all 20 atoms:
Br  0.9975  0.3176  0.9173  1 U 2.85, 1 Ag 2.86
Br  0.6635  0.6596  0.0901  1 U 2.85, 1 Ag 2.92
Br  0.5025  0.0827  0.6824  1 U 2.85, 1 Ag 2.86
Br  0.6577  0.5528  0.6996  2 Ag 2.80-2.83, 1 U 2.90
Br  0.8423  0.3004  0.4472  2 Ag 2.80-2.83, 1 U 2.90
Br  0.8365  0.9099  0.3404  1 U 2.85, 1 Ag 2.92
Br  0.0025  0.6824  0.0827  1 U 2.85, 1 Ag 2.86
Br  0.1577  0.6996  0.5528  2 Ag 2.80-2.83, 1 U 2.90
Br  0.3423  0.4472  0.3004  2 Ag 2.80-2.83, 1 U 2.90
Br  0.4975  0.9173  0.3176  1 U 2.85, 1 Ag 2.86
Br  0.1635  0.0901  0.6596  1 U 2.85, 1 Ag 2.92
Br  0.3365  0.3404  0.9099  1 U 2.85, 1 Ag 2.92
Ag  0.5716  0.3912  0.4146  4 Br 2.80-2.92, 1 Ag 2.87
Ag  0.9284  0.5854  0.6088  4 Br 2.80-2.92, 1 Ag 2.87
Ag  0.4284  0.6088  0.5854  4 Br 2.80-2.92, 1 Ag 2.87
Ag  0.0716  0.4146  0.3912  4 Br 2.80-2.92, 1 Ag 2.87
Rb  0.2500  0.8882  0.1118  4 Br 3.49-3.88
Rb  0.7500  0.1118  0.8882  4 Br 3.49-3.88
U  0.2500  0.3367  0.6633  6 Br 2.85-2.90
U  0.7500  0.6633  0.3367  6 Br 2.85-2.90

* crystal system: monoclinic
* formation energy (no corrections): -939 meV/atom
* calculated total energy: -3.7389 eV/atom
* total moment: 0.210 μB/atom